Below is a relaxed structure of Sr2Pm2Sn5, with properties calculated at the PBE level.

Summary:
formation energy from the elements	-0.558	eV/atom

Cell lengths 8.3379, 8.2989, 9.6897 Å; angles 115.36, 90.00, 90.00 degrees
Closest atoms and distances in Å follow each position.
Positions (direct):
1 Sr 0.0000 0.1941 0.3882  7 Sn 3.40-3.52
2 Sr 0.5000 0.6941 0.3882  7 Sn 3.40-3.52
3 Sr 0.0000 0.8059 0.6118  7 Sn 3.40-3.52
4 Sr 0.5000 0.3059 0.6118  7 Sn 3.40-3.52
5 Pm 0.6753 0.8250 0.0000  8 Sn 3.07-3.34
6 Pm 0.3247 0.1750 0.0000  8 Sn 3.07-3.34
7 Pm 0.1753 0.6750 0.0000  8 Sn 3.07-3.34
8 Pm 0.8247 0.3250 0.0000  8 Sn 3.07-3.34
9 Sn 0.0000 0.0000 0.0000  4 Pm 3.07, 2 Sr 3.40
10 Sn 0.5000 0.5000 0.0000  4 Pm 3.07, 2 Sr 3.40
11 Sn 0.8774 0.7487 0.2507  1 Sn 2.89, 1 Pm 3.23
12 Sn 0.1226 0.5020 0.2507  1 Sn 2.89, 1 Pm 3.23
13 Sn 0.3774 0.0020 0.2507  1 Sn 2.89, 1 Pm 3.23
14 Sn 0.6226 0.2487 0.2507  1 Sn 2.89, 1 Pm 3.23
15 Sn 0.1226 0.2513 0.7493  1 Sn 2.89, 1 Pm 3.23
16 Sn 0.8774 0.4980 0.7493  1 Sn 2.89, 1 Pm 3.23
17 Sn 0.6226 0.9980 0.7493  1 Sn 2.89, 1 Pm 3.23
18 Sn 0.3774 0.7513 0.7493  1 Sn 2.89, 1 Pm 3.23